Record 1
# Li3SnAu3 | Alexandria via LeMat-Bulk | GGA-PBE | relaxed
# ρ in g cm⁻³: 9.6
# ΔE_f in eV/atom: -0.44
data_Li3SnAu3
_space_group_name_H-M_alt 'C m m m'
_space_group_IT_number 65
_space_group_name_Hall '-C 2 2'
_cell_length_a 8.934
_cell_length_b 9.273
_cell_length_c 6.095
_cell_angle_alpha 90.00
_cell_angle_beta 90.00
_cell_angle_gamma 90.00
loop_
_atom_site_label
_atom_site_type_symbol
_atom_site_fract_x
_atom_site_fract_y
_atom_site_fract_z
_atom_site_occupancy
Li1 Li 0.000 0.236 0.000 1
Li2 Li 0.000 0.250 0.500 1
Li3 Li 0.249 0.000 0.500 1
Sn1 Sn 0.193 0.500 0.000 1
Au1 Au 0.000 0.000 0.251 1
Au2 Au 0.250 0.250 0.264 1

---

Record 2
# Tb3Pr4PuS8 | Alexandria via LeMat-Bulk | GGA-PBE | relaxed
# ρ in g cm⁻³: 7.0
# Formation energy (no corrections) in meV/atom: -1996
data_Tb3Pr4PuS8
_space_group_name_H-M_alt 'R -3 m'
_space_group_IT_number 166
_space_group_name_Hall '-R 3 2"'
_cell_length_a 8.0099
_cell_length_b 8.0099
_cell_length_c 19.8513
_cell_angle_alpha 90.00
_cell_angle_beta 90.00
_cell_angle_gamma 120.00
loop_
_atom_site_label
_atom_site_type_symbol
_atom_site_fract_x
_atom_site_fract_y
_atom_site_fract_z
_atom_site_occupancy
Tb1 Tb 0.0000 0.5000 0.0000 1
Pr1 Pr 0.0000 0.0000 0.5000 1
Pr2 Pr 0.0000 0.5000 0.5000 1
Pu1 Pu 0.0000 0.0000 0.0000 1
S1 S 0.0000 0.0000 0.2555 1
S2 S 0.0010 0.5005 0.2551 1

---

Record 3
# CsInAgHg2 | Alexandria via LeMat-Bulk | GGA-PBE | relaxed
# ρ in g cm⁻³: 6.8
# ΔE_f in eV/atom: -0.06
data_CsInAgHg2
_space_group_name_H-M_alt 'P 4/m m m'
_space_group_IT_number 123
_space_group_name_Hall '-P 4 2'
_cell_length_a 5.776
_cell_length_b 5.776
_cell_length_c 5.533
_cell_angle_alpha 90.00
_cell_angle_beta 90.00
_cell_angle_gamma 90.00
loop_
_atom_site_label
_atom_site_type_symbol
_atom_site_fract_x
_atom_site_fract_y
_atom_site_fract_z
_atom_site_occupancy
Cs1 Cs 0.000 0.000 0.000 1
In1 In 0.500 0.500 0.500 1
Ag1 Ag 0.500 0.500 0.000 1
Hg1 Hg 0.000 0.500 0.500 1

---

Record 4
# Ba2RuCl | Alexandria via LeMat-Bulk | GGA-PBE | relaxed
# ρ in g cm⁻³: 5.2
# Formation energy (no corrections) in meV/atom: -454
data_Ba2RuCl
_space_group_name_H-M_alt 'I m m 2'
_space_group_IT_number 44
_space_group_name_Hall 'I 2 -2'
_cell_length_a 3.883
_cell_length_b 3.931
_cell_length_c 17.041
_cell_angle_alpha 90.00
_cell_angle_beta 90.00
_cell_angle_gamma 90.00
loop_
_atom_site_label
_atom_site_type_symbol
_atom_site_fract_x
_atom_site_fract_y
_atom_site_fract_z
_atom_site_occupancy
Ba1 Ba 0.000 0.000 0.000 1
Ba2 Ba 0.000 0.500 0.272 1
Ru1 Ru 0.000 0.000 0.404 1
Cl1 Cl 0.000 0.500 0.665 1